Version i
# Sr2CaCu

Crystalline Sr2CaCu at its relaxed geometry (PBE, the Alexandria database).

Geometry as POSCAR:
```
Sr2CaCu
1.0
-2.193 2.228 -2.315
-3.104 -0.747 2.222
2.072 7.754 5.501
Cu Ca Sr
1 1 2
Direct
0.500 0.500 0.750 Cu
0.500 0.500 0.250 Ca
0.000 0.000 0.937 Sr
0.000 0.000 0.563 Sr
```

Spin magnetization in μB per formula unit: 0.00



Version ii
# Sr2CaCu

Crystalline Sr2CaCu at its relaxed geometry (PBE, the Alexandria database).

Geometry as POSCAR:
```
Sr2CaCu
1.0
-1.066 4.078 4.186
-3.368 4.731 -1.251
-5.431 0.487 2.358
Sr Ca Cu
2 1 1
Direct
0.250 0.250 0.250 Sr
0.750 0.750 0.750 Sr
0.000 0.000 0.000 Ca
0.500 0.500 0.500 Cu
```

Spin magnetization in μB per formula unit: 0.00



Stability ranking, top and bottom: version i is the most stable and version ii is the least stable.